DFT (PBE-GGA) results for a relaxed Sn3H5Rh12 crystal.

Its raw total energy is -934.37 eV for the cell shown. The total magnetization comes out at 0.43 μB/cell.

The space group is Ia-3d (No. 230) and the conventional cell measures 12.7863, 12.7863 and 12.7863 Å, with angles of 90.00, 90.00 and 90.00 degrees. The inequivalent atoms are Sn at (0.0000, 0.2500, 0.1250), H at (0.0000, 0.0000, 0.0000), H at (0.0000, 0.2500, 0.3750) and Rh at (0.0459, 0.0474, 0.6438).